Entry from Alexandria via LeMat-Bulk: a relaxed structure of YCrIr2 (PBE-GGA).

E_form, eV/atom: 0.12
Volume, A^3/atom: 17.22
ΔE to the lowest computed polymorph, meV per atom: 408
Total DFT energy (no corrections), eV per atom: -8.331

CIF file:
```
data_YCrIr2
_space_group_name_H-M_alt 'F -4 3 m'
_space_group_IT_number 216
_space_group_name_Hall 'F -4 2 3'
_cell_length_a 6.507
_cell_length_b 6.507
_cell_length_c 6.507
_cell_angle_alpha 90.00
_cell_angle_beta 90.00
_cell_angle_gamma 90.00
loop_
_atom_site_label
_atom_site_type_symbol
_atom_site_fract_x
_atom_site_fract_y
_atom_site_fract_z
Y1 Y 0.000 0.000 0.000
Cr1 Cr 0.250 0.250 0.250
Ir1 Ir 0.000 0.000 0.500
Ir2 Ir 0.250 0.250 0.750
```